Crystalline TmSbMo2O9 at its relaxed geometry, computed with GGA+U.

Lattice parameters (Å, degrees): 9.6373 9.6373 10.7814 111.98 111.98 95.20
Atoms (fractional coordinates):
1 Tm 0.1261 0.8739 0.7500
2 Tm 0.3295 0.6705 0.2500
3 Tm 0.6705 0.3295 0.7500
4 Tm 0.8739 0.1261 0.2500
5 Sb 0.3478 0.3807 0.4648
6 Sb 0.3807 0.3478 0.9648
7 Sb 0.6193 0.6522 0.0352
8 Sb 0.6522 0.6193 0.5352
9 Mo 0.0454 0.2592 0.0241
10 Mo 0.0568 0.4345 0.6920
11 Mo 0.2592 0.0454 0.5241
12 Mo 0.4345 0.0568 0.1920
13 Mo 0.5655 0.9432 0.8080
14 Mo 0.7408 0.9546 0.4759
15 Mo 0.9432 0.5655 0.3080
16 Mo 0.9546 0.7408 0.9759
17 O 0.0227 0.6933 0.5013
18 O 0.0387 0.2171 0.1711
19 O 0.0705 0.0965 0.8964
20 O 0.0965 0.0705 0.3964
21 O 0.0958 0.5552 0.2519
22 O 0.1320 0.7025 0.0720
23 O 0.1461 0.6234 0.7292
24 O 0.2075 0.3613 0.7952
25 O 0.2171 0.0387 0.6711
26 O 0.2222 0.4075 0.0803
27 O 0.2975 0.8680 0.4280
28 O 0.3067 0.9773 0.9987
29 O 0.3613 0.2075 0.2952
30 O 0.3766 0.8539 0.7708
31 O 0.4075 0.2222 0.5803
32 O 0.4223 0.5423 0.3992
33 O 0.4448 0.9042 0.2481
34 O 0.4577 0.5777 0.1008
35 O 0.5423 0.4223 0.8992
36 O 0.5552 0.0958 0.7519
37 O 0.5777 0.4577 0.6008
38 O 0.5925 0.7778 0.4197
39 O 0.6234 0.1461 0.2292
40 O 0.6387 0.7925 0.7048
41 O 0.6933 0.0227 0.0013
42 O 0.7025 0.1320 0.5720
43 O 0.7778 0.5925 0.9197
44 O 0.7829 0.9613 0.3289
45 O 0.7925 0.6387 0.2048
46 O 0.8539 0.3766 0.2708
47 O 0.8680 0.2975 0.9280
48 O 0.9042 0.4448 0.7481
49 O 0.9035 0.9295 0.6036
50 O 0.9295 0.9035 0.1036
51 O 0.9613 0.7829 0.8289
52 O 0.9773 0.3067 0.4987

Values from the calculation:
E_tot: -372.6 eV per cell
total magnetic moment: 0.0 μB per formula unit